# 1
Material: Li3Pb2
Method: DFT, PBE-GGA
State: relaxed Values from VASP.

Results
Total energy in Ry per atom: -0.2131
Total magnetization in μB per atom: 0.000
Calculated formation energy in meV per atom: -268
Crystal system: tetragonal
Energy above the lowest structure with this stoichiometry in eV per atom: 0.000

Structure (Quantum ESPRESSO input):
```
&SYSTEM
  ibrav = 0, nat = 5, ntyp = 2
/
ATOMIC_SPECIES
Li 6.94 Li.upf
Pb 207.20 Pb.upf
CELL_PARAMETERS angstrom
-1.852 1.852 7.791
1.852 -1.852 7.791
1.852 1.852 -7.791
ATOMIC_POSITIONS crystal
Li 0.000 0.000 0.000
Li 0.197 0.197 0.000
Li 0.803 0.803 0.000
Pb 0.394 0.394 0.000
Pb 0.606 0.606 0.000
```

---

# 2
Material: Li3Pb
Method: DFT, PBE-GGA
State: relaxed Values from VASP.

Results
Total energy in Ry per atom: -0.1601
Total magnetization in μB per atom: 0.240
Calculated formation energy in meV per atom: 184
Crystal system: cubic
Energy above the lowest structure with this stoichiometry in eV per atom: 0.504

Structure (Quantum ESPRESSO input):
```
&SYSTEM
  ibrav = 0, nat = 4, ntyp = 2
/
ATOMIC_SPECIES
Li 6.94 Li.upf
Pb 207.20 Pb.upf
CELL_PARAMETERS angstrom
5.465 0.000 0.000
0.000 5.465 0.000
0.000 0.000 5.465
ATOMIC_POSITIONS crystal
Li 0.000 0.000 0.500
Li 0.000 0.500 0.000
Li 0.500 0.000 0.000
Pb 0.000 0.000 0.000
```

---

# 3
Material: Li3Pb5
Method: DFT, PBE-GGA
State: relaxed Values from VASP.

Results
Total energy in Ry per atom: -0.2352
Total magnetization in μB per atom: 0.000
Calculated formation energy in meV per atom: -165
Crystal system: tetragonal
Energy above the lowest structure with this stoichiometry in eV per atom: 0.000

Structure (Quantum ESPRESSO input):
```
&SYSTEM
  ibrav = 0, nat = 8, ntyp = 2
/
ATOMIC_SPECIES
Li 6.94 Li.upf
Pb 207.20 Pb.upf
CELL_PARAMETERS angstrom
3.521 0.000 0.000
0.000 3.521 0.000
0.000 0.000 16.077
ATOMIC_POSITIONS crystal
Li 0.000 0.000 0.000
Li 0.500 0.500 0.394
Li 0.500 0.500 0.606
Pb 0.000 0.000 0.275
Pb 0.000 0.000 0.500
Pb 0.000 0.000 0.725
Pb 0.500 0.500 0.116
Pb 0.500 0.500 0.884
```

---

# 4
Material: Li3Pb
Method: DFT, PBE-GGA
State: relaxed Values from VASP.

Results
Total energy in Ry per atom: -0.1805
Total magnetization in μB per atom: 0.000
Calculated formation energy in meV per atom: -93
Crystal system: trigonal
Energy above the lowest structure with this stoichiometry in eV per atom: 0.227

Structure (Quantum ESPRESSO input):
```
&SYSTEM
  ibrav = 0, nat = 4, ntyp = 2
/
ATOMIC_SPECIES
Li 6.94 Li.upf
Pb 207.20 Pb.upf
CELL_PARAMETERS angstrom
1.650 0.952 9.853
-1.650 0.952 9.853
0.000 -1.905 9.853
ATOMIC_POSITIONS crystal
Li 0.000 0.000 0.000
Li 0.248 0.248 0.248
Li 0.752 0.752 0.752
Pb 0.500 0.500 0.500
```

---

# 5
Material: Li3Pb
Method: DFT, PBE-GGA
State: relaxed Values from VASP.

Results
Total energy in Ry per atom: -0.1901
Total magnetization in μB per atom: 0.000
Calculated formation energy in meV per atom: -224
Crystal system: orthorhombic
Energy above the lowest structure with this stoichiometry in eV per atom: 0.097

Structure (Quantum ESPRESSO input):
```
&SYSTEM
  ibrav = 0, nat = 16, ntyp = 2
/
ATOMIC_SPECIES
Li 6.94 Li.upf
Pb 207.20 Pb.upf
CELL_PARAMETERS angstrom
6.372 0.000 0.000
0.000 9.376 0.000
0.000 0.000 5.674
ATOMIC_POSITIONS crystal
Li 0.020 0.250 0.107
Li 0.181 0.519 0.343
Li 0.181 0.981 0.343
Li 0.319 0.019 0.843
Li 0.319 0.481 0.843
Li 0.480 0.750 0.607
Li 0.520 0.250 0.393
Li 0.681 0.519 0.157
Li 0.681 0.981 0.157
Li 0.819 0.019 0.657
Li 0.819 0.481 0.657
Li 0.980 0.750 0.893
Pb 0.106 0.250 0.607
Pb 0.394 0.750 0.107
Pb 0.606 0.250 0.893
Pb 0.894 0.750 0.393
```

---

# 6
Material: Li8Pb3
Method: DFT, PBE-GGA
State: relaxed Values from VASP.

Results
Total energy in Ry per atom: -0.2008
Total magnetization in μB per atom: 0.000
Calculated formation energy in meV per atom: -329
Crystal system: trigonal

Structure (Quantum ESPRESSO input):
```
&SYSTEM
  ibrav = 0, nat = 11, ntyp = 2
/
ATOMIC_SPECIES
Li 6.94 Li.upf
Pb 207.20 Pb.upf
CELL_PARAMETERS angstrom
2.360 1.363 10.811
-2.360 1.363 10.811
0.000 -2.725 10.811
ATOMIC_POSITIONS crystal
Li 0.088 0.088 0.088
Li 0.179 0.179 0.179
Li 0.273 0.273 0.273
Li 0.362 0.362 0.362
Li 0.638 0.638 0.638
Li 0.727 0.727 0.727
Li 0.821 0.821 0.821
Li 0.912 0.912 0.912
Pb 0.000 0.000 0.000
Pb 0.452 0.452 0.452
Pb 0.548 0.548 0.548
```

---

# 7
Material: Li3Pb2
Method: DFT, PBE-GGA
State: relaxed Values from VASP.

Results
Total energy in Ry per atom: -0.2041
Total magnetization in μB per atom: 0.000
Calculated formation energy in meV per atom: -145
Crystal system: trigonal
Energy above the lowest structure with this stoichiometry in eV per atom: 0.123

Structure (Quantum ESPRESSO input):
```
&SYSTEM
  ibrav = 0, nat = 5, ntyp = 2
/
ATOMIC_SPECIES
Li 6.94 Li.upf
Pb 207.20 Pb.upf
CELL_PARAMETERS angstrom
2.972 1.716 3.870
-2.972 1.716 3.870
0.000 -3.431 3.870
ATOMIC_POSITIONS crystal
Li 0.000 0.500 0.500
Li 0.500 0.000 0.500
Li 0.500 0.500 0.000
Pb 0.130 0.130 0.130
Pb 0.870 0.870 0.870
```

---

# 8
Material: Li3Pb4
Method: DFT, PBE-GGA
State: relaxed Values from VASP.

Results
Total energy in Ry per atom: -0.2309
Total magnetization in μB per atom: 0.000
Calculated formation energy in meV per atom: -203
Crystal system: trigonal
Energy above the lowest structure with this stoichiometry in eV per atom: 0.000

Structure (Quantum ESPRESSO input):
```
&SYSTEM
  ibrav = 0, nat = 14, ntyp = 2
/
ATOMIC_SPECIES
Li 6.94 Li.upf
Pb 207.20 Pb.upf
CELL_PARAMETERS angstrom
6.762 3.904 2.163
-6.762 3.904 2.163
0.000 -7.808 2.163
ATOMIC_POSITIONS crystal
Li 0.041 0.621 0.750
Li 0.250 0.959 0.379
Li 0.379 0.250 0.959
Li 0.621 0.750 0.041
Li 0.750 0.041 0.621
Li 0.959 0.379 0.250
Pb 0.000 0.000 0.000
Pb 0.107 0.256 0.559
Pb 0.256 0.559 0.107
Pb 0.441 0.893 0.744
Pb 0.500 0.500 0.500
Pb 0.559 0.107 0.256
Pb 0.744 0.441 0.893
Pb 0.893 0.744 0.441
```